Record 1
TbYAl2Ni4 | GGA-PBE | optimized geometry

## Properties
SG = P-6m2 (187)

abc: 4.1472 4.1472 8.9287
angles: 90.00 90.00 120.00
Positions (direct):
Al (0.6667, 0.3333, 0.2511)
Al (0.6667, 0.3333, 0.7489)
Ni (0.3333, 0.6667, 0.1875)
Ni (0.0000, 0.0000, 0.3108)
Ni (0.0000, 0.0000, 0.6892)
Ni (0.3333, 0.6667, 0.8125)
Tb (0.0000, 0.0000, 0.0000)
Y (0.3333, 0.6667, 0.5000)

---

Record 2
Tb2Al3ZnNi2 | GGA-PBE | optimized geometry

## Properties
SG = Cm (8)

abc: 5.3844 5.3844 7.0078
angles: 90.28 90.28 44.51
Positions (direct):
Al (0.3399, 0.3399, 0.0547)
Al (0.3468, 0.3468, 0.4441)
Al (0.6558, 0.6558, 0.5563)
Ni (0.7845, 0.7845, 0.2531)
Ni (0.2209, 0.2209, 0.7426)
Tb (0.0614, 0.0614, 0.2492)
Tb (0.9394, 0.9394, 0.7548)
Zn (0.6514, 0.6514, 0.9452)

---

Record 3
Tb2AlZn3Ni2 | GGA-PBE | optimized geometry

## Properties
SG = Cm (8)

abc: 5.1587 5.1587 7.1877
angles: 90.02 90.02 46.31
Positions (direct):
Al (0.3462, 0.3462, 0.9437)
Ni (0.2235, 0.2235, 0.2472)
Ni (0.7828, 0.7828, 0.7570)
Tb (0.9366, 0.9366, 0.2520)
Tb (0.0632, 0.0632, 0.7434)
Zn (0.6461, 0.6461, 0.0564)
Zn (0.6510, 0.6510, 0.4453)
Zn (0.3506, 0.3506, 0.5549)

---

Record 4
AlTcNi | GGA-PBE | optimized geometry

## Properties
SG = F-43m (216)

abc: 3.9949 3.9949 3.9949
angles: 60.00 60.00 60.00
Positions (direct):
Al (0.2500, 0.2500, 0.2500)
Ni (0.0000, 0.0000, 0.0000)
Tc (0.7500, 0.7500, 0.7500)

---

Record 5
AlTcNi | GGA-PBE | optimized geometry

## Properties
SG = F-43m (216)

abc: 4.0833 4.0833 4.0833
angles: 60.00 60.00 60.00
Positions (direct):
Al (0.2500, 0.2500, 0.2500)
Ni (0.7500, 0.7500, 0.7500)
Tc (0.0000, 0.0000, 0.0000)

---

Record 6
AlZnTcNi | GGA-PBE | optimized geometry

## Properties
SG = F-43m (216)

abc: 4.2089 4.2089 4.2089
angles: 60.00 60.00 60.00
Positions (direct):
Al (0.0000, 0.0000, 0.0000)
Ni (0.7500, 0.7500, 0.7500)
Tc (0.2500, 0.2500, 0.2500)
Zn (0.5000, 0.5000, 0.5000)

---

Record 7
AlNiTe | GGA-PBE | optimized geometry

## Properties
SG = F-43m (216)

abc: 4.3144 4.3144 4.3144
angles: 60.00 60.00 60.00
Positions (direct):
Al (0.2500, 0.2500, 0.2500)
Ni (0.0000, 0.0000, 0.0000)
Te (0.7500, 0.7500, 0.7500)

---

Record 8
Al2NiTe | GGA-PBE | optimized geometry

## Properties
SG = F-43m (216)

abc: 4.6770 4.6770 4.6770
angles: 60.00 60.00 60.00
Positions (direct):
Al (0.0000, 0.0000, 0.0000)
Al (0.7500, 0.7500, 0.7500)
Ni (0.5000, 0.5000, 0.5000)
Te (0.2500, 0.2500, 0.2500)

---

Record 9
AlTlNi | GGA-PBE | optimized geometry

## Properties
SG = F-43m (216)

abc: 4.3785 4.3785 4.3785
angles: 60.00 60.00 60.00
Positions (direct):
Al (0.2500, 0.2500, 0.2500)
Ni (0.7500, 0.7500, 0.7500)
Tl (0.0000, 0.0000, 0.0000)

---

Record 10
Al2TlNi | GGA-PBE | optimized geometry

## Properties
SG = F-43m (216)

abc: 4.6156 4.6156 4.6156
angles: 60.00 60.00 60.00
Positions (direct):
Al (0.0000, 0.0000, 0.0000)
Al (0.7500, 0.7500, 0.7500)
Ni (0.5000, 0.5000, 0.5000)
Tl (0.2500, 0.2500, 0.2500)

---

Record 11
AlTlNi | GGA-PBE | optimized geometry

## Properties
SG = F-43m (216)

abc: 4.2716 4.2716 4.2716
angles: 60.00 60.00 60.00
Positions (direct):
Al (0.2500, 0.2500, 0.2500)
Ni (0.0000, 0.0000, 0.0000)
Tl (0.7500, 0.7500, 0.7500)

---

Record 12
Tm6AlNi2 | GGA-PBE | optimized geometry

## Properties
SG = Immm (71)

abc: 8.2047 8.2047 8.2047
angles: 112.36 110.19 105.93
Positions (direct):
Al (0.0000, 0.0000, 0.0000)
Al (0.5000, 0.5000, 0.0000)
Ni (0.3440, 0.0000, 0.3440)
Ni (0.8783, 0.3783, 0.5000)
Ni (0.1217, 0.6217, 0.5000)
Ni (0.6560, 0.0000, 0.6560)
Tm (0.8179, 0.2849, 0.1028)
Tm (0.4347, 0.2371, 0.1975)
Tm (0.9604, 0.7629, 0.1975)
Tm (0.3253, 0.6309, 0.3056)
Tm (0.6747, 0.9803, 0.3056)
Tm (0.1821, 0.2849, 0.4670)
Tm (0.8179, 0.7151, 0.5330)
Tm (0.3253, 0.0197, 0.6944)
Tm (0.6747, 0.3691, 0.6944)
Tm (0.0396, 0.2371, 0.8025)
Tm (0.5653, 0.7629, 0.8025)
Tm (0.1821, 0.7151, 0.8972)

---

Record 13
Tm3Al2Ni6 | GGA-PBE | optimized geometry

## Properties
SG = Im-3m (229)

abc: 7.6603 7.6603 7.6603
angles: 109.47 109.47 109.47
Positions (direct):
Al (0.5000, 0.0000, 0.0000)
Al (0.0000, 0.5000, 0.0000)
Al (0.0000, 0.0000, 0.5000)
Al (0.5000, 0.5000, 0.5000)
Ni (0.6667, 0.3333, 0.0000)
Ni (0.3333, 0.6667, 0.0000)
Ni (0.6667, 0.3333, 0.3333)
Ni (0.3333, 0.6667, 0.3333)
Ni (0.6667, 0.0000, 0.3333)
Ni (0.0000, 0.6667, 0.3333)
Ni (0.6667, 0.6667, 0.3333)
Ni (0.3333, 0.3333, 0.6667)
Ni (0.3333, 0.0000, 0.6667)
Ni (0.0000, 0.3333, 0.6667)
Ni (0.6667, 0.3333, 0.6667)
Ni (0.3333, 0.6667, 0.6667)
Tm (0.2940, 0.2940, 0.0000)
Tm (0.7060, 0.7060, 0.0000)
Tm (0.2940, 0.0000, 0.2940)
Tm (0.0000, 0.2940, 0.2940)
Tm (0.7060, 0.0000, 0.7060)
Tm (0.0000, 0.7060, 0.7060)

---

Record 14
Tm2Al8Ni | GGA-PBE | optimized geometry

## Properties
SG = P4/mmm (123)

abc: 4.2100 4.2100 10.9984
angles: 90.00 90.00 90.00
Positions (direct):
Al (0.5000, 0.0000, 0.1202)
Al (0.0000, 0.5000, 0.1202)
Al (0.5000, 0.5000, 0.3039)
Al (0.5000, 0.0000, 0.5000)
Al (0.0000, 0.5000, 0.5000)
Al (0.5000, 0.5000, 0.6961)
Al (0.5000, 0.0000, 0.8798)
Al (0.0000, 0.5000, 0.8798)
Ni (0.0000, 0.0000, 0.0000)
Tm (0.0000, 0.0000, 0.3094)
Tm (0.0000, 0.0000, 0.6906)

---

Record 15
Tm10Al3Ni | GGA-PBE | optimized geometry

## Properties
SG = P6_3/mmc (194)

abc: 9.3523 9.3523 9.4531
angles: 90.00 90.00 120.00
Positions (direct):
Al (0.2230, 0.1115, 0.2500)
Al (0.8885, 0.1115, 0.2500)
Al (0.8885, 0.7770, 0.2500)
Al (0.1115, 0.2230, 0.7500)
Al (0.1115, 0.8885, 0.7500)
Al (0.7770, 0.8885, 0.7500)
Ni (0.3333, 0.6667, 0.2500)
Ni (0.6667, 0.3333, 0.7500)
Tm (0.0000, 0.0000, 0.0000)
Tm (0.2082, 0.4163, 0.0610)
Tm (0.2082, 0.7918, 0.0610)
Tm (0.5837, 0.7918, 0.0610)
Tm (0.5434, 0.0868, 0.2500)
Tm (0.5434, 0.4566, 0.2500)
Tm (0.9132, 0.4566, 0.2500)
Tm (0.2082, 0.4163, 0.4390)
Tm (0.2082, 0.7918, 0.4390)
Tm (0.5837, 0.7918, 0.4390)
Tm (0.0000, 0.0000, 0.5000)
Tm (0.4163, 0.2082, 0.5610)
Tm (0.7918, 0.2082, 0.5610)
Tm (0.7918, 0.5837, 0.5610)
Tm (0.0868, 0.5434, 0.7500)
Tm (0.4566, 0.5434, 0.7500)
Tm (0.4566, 0.9132, 0.7500)
Tm (0.4163, 0.2082, 0.9390)
Tm (0.7918, 0.2082, 0.9390)
Tm (0.7918, 0.5837, 0.9390)

---

Record 16
Y2TmAl3Ni3 | GGA-PBE | optimized geometry

## Properties
SG = Amm2 (38)

abc: 3.9574 6.8985 6.8985
angles: 119.95 90.00 90.00
Positions (direct):
Al (0.5000, 0.2321, 0.2321)
Al (0.5000, 0.9996, 0.7674)
Al (0.5000, 0.7674, 0.9996)
Ni (0.5000, 0.6646, 0.3381)
Ni (0.5000, 0.3381, 0.6646)
Ni (0.0000, 0.9956, 0.9956)
Tm (0.0000, 0.5896, 0.5896)
Y (0.0000, 0.4125, 0.0004)
Y (0.0000, 0.0004, 0.4125)

---

Record 17
YTmAlNi2 | GGA-PBE | optimized geometry

## Properties
SG = Imm2 (44)

abc: 5.3473 5.3473 5.3473
angles: 134.25 119.57 78.97
Positions (direct):
Al (0.9998, 0.9998, 0.0000)
Ni (0.7325, 0.4999, 0.2325)
Ni (0.2674, 0.4999, 0.7675)
Tm (0.7024, 0.2024, 0.5000)
Y (0.2979, 0.7979, 0.5000)

---

Record 18
Tm2Al3ZnNi2 | GGA-PBE | optimized geometry

## Properties
SG = Cm (8)

abc: 5.2632 5.2632 6.9635
angles: 90.20 90.20 45.38
Positions (direct):
Al (0.8448, 0.8448, 0.0540)
Al (0.8505, 0.8505, 0.4449)
Al (0.1513, 0.1513, 0.5557)
Ni (0.2858, 0.2858, 0.2531)
Ni (0.7205, 0.7205, 0.7432)
Tm (0.5641, 0.5641, 0.2481)
Tm (0.4365, 0.4365, 0.7548)
Zn (0.1464, 0.1464, 0.9462)

---

Record 19
TmZr2Al3Ni3 | GGA-PBE | optimized geometry

## Properties
SG = Amm2 (38)

abc: 3.6063 6.8881 6.8881
angles: 119.90 90.00 90.00
Positions (direct):
Al (0.5000, 0.9947, 0.2440)
Al (0.5000, 0.7585, 0.7585)
Al (0.5000, 0.2440, 0.9947)
Ni (0.5000, 0.6734, 0.3317)
Ni (0.5000, 0.3317, 0.6734)
Ni (0.0000, 0.9959, 0.9959)
Tm (0.0000, 0.4140, 0.4140)
Zr (0.0000, 0.5865, 0.0012)
Zr (0.0000, 0.0012, 0.5865)

---

Record 20
UAl3Ni2 | GGA-PBE | optimized geometry

## Properties
SG = P6/mmm (191)

abc: 5.1889 5.1889 4.0151
angles: 90.00 90.00 120.00
Positions (direct):
Al (0.5000, 0.0000, 0.5000)
Al (0.5000, 0.5000, 0.5000)
Al (0.0000, 0.5000, 0.5000)
Ni (0.6667, 0.3334, 0.0000)
Ni (0.3334, 0.6667, 0.0000)
U (0.0000, 0.0000, 0.0000)

---

These records have final energy values of -5.69 -4.68 -3.97 -6.52 -6.17 -5.42 -4.32 -3.78 -3.42 -3.54 -3.87 -4.99 -5.54 -4.48 -4.69 -5.65 -5.73 -4.66 -6.14 -5.96 eV per atom, in the order they appear.
These records have spin magnetization values of 0.0 0.0 0.0 2.0 2.0 0.1 0.0 0.0 0.0 0.0 0.0 0.0 0.0 0.0 0.0 0.0 0.0 0.0 0.0 1.0 μB/cell, in the order they appear.